# Nd2Mg3Pd2 (PBE, optimized geometry)
data_Nd2Mg3Pd2
_symmetry_space_group_name_H-M 'P 1'
_symmetry_Int_Tables_number 1
_symmetry_space_group_name_Hall 'P 1'
_cell_length_a 4.384
_cell_length_b 5.661
_cell_length_c 7.716
_cell_angle_alpha 111.17
_cell_angle_beta 90.00
_cell_angle_gamma 112.78
loop_
_atom_site_label
_atom_site_type_symbol
_atom_site_fract_x
_atom_site_fract_y
_atom_site_fract_z
_atom_site_occupancy
Nd1 Nd 0.858 0.716 0.218 1
Nd2 Nd 0.142 0.284 0.782 1
Mg1 Mg 0.500 0.000 0.000 1
Mg2 Mg 0.634 0.269 0.440 1
Mg3 Mg 0.366 0.731 0.560 1
Pd1 Pd 0.855 0.710 0.797 1
Pd2 Pd 0.145 0.290 0.203 1
# Space-group type = C2/m
# Calculated formation energy = -0.56 eV/atom